Below is an optimized crystal structure of CdRe3S, with properties calculated at the PBE level.

Results
Energy above the lowest structure with this stoichiometry in eV/atom: 2.566
Raw total energy in Ry/atom: -0.3625
Raw formation energy in eV/atom: 3.545
DOS at the Fermi energy in states/eV/cell: 10.37

Cell: 4.861 4.861 4.861 Å, 90.00 90.00 90.00°
Space group Pm-3m (No. 221)
Unique sites:
Cd: 0.000 0.000 0.000
Re: 0.000 0.000 0.500
S: 0.500 0.500 0.500